Compound: ScAlAg2
Source: the Open Quantum Materials Database
Functional: PBE
Structure: optimized geometry

a = 3.1966 Å, b = 3.1966 Å, c = 7.0818 Å
α = 90.00°, β = 90.00°, γ = 90.00°
Positions (direct):
Sc 0.0000 0.0000 0.0000
Al 0.0000 0.0000 0.5000
Ag 0.5000 0.5000 0.2743
Ag 0.5000 0.5000 0.7257

## Properties
Its crystal system is tetragonal. As for the space group: No. 123.

Compound: ScAlAg2
Source: the Open Quantum Materials Database
Functional: PBE
Structure: optimized geometry

a = 4.7398 Å, b = 4.7398 Å, c = 7.8025 Å
α = 90.00°, β = 90.00°, γ = 120.00°
Positions (direct):
Sc 0.0000 0.0000 0.2500
Sc 0.0000 0.0000 0.7500
Al 0.3333 0.6667 0.2500
Al 0.6667 0.3333 0.7500
Ag 0.3333 0.6667 0.5742
Ag 0.3333 0.6667 0.9258
Ag 0.6667 0.3333 0.0742
Ag 0.6667 0.3333 0.4258

## Properties
Its crystal system is hexagonal. As for the space group: No. 194.

Compound: ScAlAg2
Source: the Open Quantum Materials Database
Functional: PBE
Structure: optimized geometry

a = 4.6467 Å, b = 4.6467 Å, c = 4.6467 Å
α = 119.75°, β = 119.75°, γ = 90.44°
Positions (direct):
Sc 0.0000 0.0000 0.0000
Al 0.5000 0.5000 0.0000
Ag 0.2500 0.7500 0.5000
Ag 0.7500 0.2500 0.5000

## Properties
Its crystal system is tetragonal. As for the space group: No. 139.

Compound: ScAlAg
Source: the Open Quantum Materials Database
Functional: PBE
Structure: optimized geometry

a = 4.4824 Å, b = 4.4824 Å, c = 4.4824 Å
α = 60.00°, β = 60.00°, γ = 60.00°
Positions (direct):
Sc 0.0000 0.0000 0.0000
Al 0.5000 0.5000 0.5000
Ag 0.7500 0.7500 0.7500

## Properties
Its crystal system is cubic. As for the space group: No. 216.

Compound: ScAl6Ag
Source: the Open Quantum Materials Database
Functional: PBE
Structure: optimized geometry

a = 5.9014 Å, b = 5.9014 Å, c = 4.6105 Å
α = 90.00°, β = 90.00°, γ = 120.00°
Positions (direct):
Sc 0.0000 0.0000 0.0000
Al 0.3485 0.1742 0.5000
Al 0.5025 0.0049 0.0000
Al 0.5025 0.4975 0.0000
Al 0.8258 0.1742 0.5000
Al 0.8258 0.6515 0.5000
Al 0.9951 0.4975 0.0000
Ag 0.3333 0.6667 0.5000

## Properties
Its crystal system is hexagonal. As for the space group: No. 187.

Compound: ScAlAg2
Source: the Open Quantum Materials Database
Functional: PBE
Structure: optimized geometry

a = 4.4799 Å, b = 4.4799 Å, c = 8.6115 Å
α = 90.00°, β = 90.00°, γ = 120.00°
Positions (direct):
Sc 0.3333 0.6667 0.2500
Sc 0.6667 0.3333 0.7500
Al 0.0000 0.0000 0.0000
Al 0.0000 0.0000 0.5000
Ag 0.3333 0.6667 0.5862
Ag 0.3333 0.6667 0.9138
Ag 0.6667 0.3333 0.0862
Ag 0.6667 0.3333 0.4138

## Properties
Its crystal system is hexagonal. As for the space group: No. 194.

Compound: AlAgSe2
Source: the Open Quantum Materials Database
Functional: PBE
Structure: optimized geometry

a = 6.1880 Å, b = 6.2833 Å, c = 6.3042 Å
α = 89.67°, β = 89.79°, γ = 89.73°
Positions (direct):
Al 0.2500 0.0001 0.0000
Al 0.7500 0.9999 0.0000
Ag 0.0000 0.0000 0.5000
Ag 0.5000 0.5000 0.0000
Se 0.0019 0.7612 0.8215
Se 0.5000 0.1807 0.7610
Se 0.5000 0.8193 0.2390
Se 0.9981 0.2388 0.1785

## Properties
Its crystal system is triclinic. As for the space group: No. 2.

Compound: AlAgSe2
Source: the Open Quantum Materials Database
Functional: PBE
Structure: optimized geometry

a = 6.9597 Å, b = 6.9597 Å, c = 6.0471 Å
α = 115.61°, β = 115.61°, γ = 51.13°
Positions (direct):
Al 0.1240 0.1240 0.3722
Al 0.8760 0.8760 0.6278
Ag 0.3738 0.3718 0.1253
Ag 0.6282 0.6262 0.8747
Se 0.2180 0.7820 0.0000
Se 0.4981 0.0024 0.7138
Se 0.7849 0.2151 0.5000
Se 0.9976 0.5019 0.2862

## Properties
Its crystal system is monoclinic. As for the space group: No. 5.

Compound: AlAgSe2
Source: the Open Quantum Materials Database
Functional: PBE
Structure: optimized geometry

a = 6.9920 Å, b = 6.9920 Å, c = 6.9920 Å
α = 128.96°, β = 128.96°, γ = 75.07°
Positions (direct):
Al 0.0000 0.0000 0.0000
Al 0.7500 0.2500 0.5000
Ag 0.2500 0.7500 0.5000
Ag 0.5000 0.5000 0.0000
Se 0.0900 0.1250 0.4650
Se 0.3750 0.9100 0.0350
Se 0.6600 0.6250 0.5350
Se 0.8750 0.3400 0.9650

## Properties
Its crystal system is tetragonal. As for the space group: No. 122.

Compound: Al2Ag2Te3Se
Source: the Open Quantum Materials Database
Functional: PBE
Structure: optimized geometry

a = 7.3606 Å, b = 7.3606 Å, c = 6.3199 Å
α = 114.72°, β = 114.72°, γ = 51.21°
Positions (direct):
Al 0.1196 0.1196 0.3829
Al 0.8804 0.8804 0.6171
Ag 0.3580 0.4004 0.1370
Ag 0.5996 0.6420 0.8630
Te 0.4905 0.0096 0.2709
Te 0.7667 0.2333 0.0000
Te 0.9904 0.5095 0.7291
Se 0.2105 0.7895 0.5000

## Properties
Its crystal system is monoclinic. As for the space group: No. 5.

Compound: ZrAlAg2Se4
Source: the Open Quantum Materials Database
Functional: PBE
Structure: optimized geometry

a = 7.2578 Å, b = 7.2578 Å, c = 7.2578 Å
α = 130.60°, β = 130.60°, γ = 72.45°
Positions (direct):
Zr 0.0000 0.0000 0.0000
Al 0.2500 0.7500 0.5000
Ag 0.5000 0.5000 0.0000
Ag 0.7500 0.2500 0.5000
Se 0.1328 0.0963 0.4913
Se 0.3585 0.8672 0.9635
Se 0.6050 0.6415 0.5087
Se 0.9037 0.3950 0.0365

## Properties
Its crystal system is tetragonal. As for the space group: No. 82.

Compound: AlSiAg
Source: the Open Quantum Materials Database
Functional: PBE
Structure: optimized geometry

a = 6.7278 Å, b = 3.7291 Å, c = 8.2431 Å
α = 90.00°, β = 90.00°, γ = 90.00°
Positions (direct):
Al 0.2417 0.2500 0.1855
Al 0.2583 0.7500 0.6855
Al 0.7417 0.2500 0.3145
Al 0.7583 0.7500 0.8145
Si 0.1272 0.2500 0.4857
Si 0.3728 0.7500 0.9857
Si 0.6272 0.2500 0.0143
Si 0.8728 0.7500 0.5143
Ag 0.0666 0.2500 0.8750
Ag 0.4334 0.7500 0.3750
Ag 0.5666 0.2500 0.6250
Ag 0.9334 0.7500 0.1250

## Properties
Its crystal system is orthorhombic. As for the space group: No. 62.

no.,raw total energy (eV per cell),V (Å³ per cell)
1,-16.49,72.4
2,-32.13,151.8
3,-17.05,71.2
4,-13.36,63.7
5,-32.63,139.1
6,-33.60,149.7
7,-31.84,245.1
8,-32.08,200.2
9,-32.08,201.2
10,-29.40,236.5
11,-36.61,215.4
12,-45.27,206.8